Record 1
HgAsSeF2 | GGA-PBE | relaxed

abc: 4.1789 5.5852 4.1789
angles: 90.00 90.00 90.00
Atoms (fractional coordinates):
1 As 0.0000 0.5000 0.0000
2 Hg 0.5000 0.5000 0.5000
3 Se 0.0000 0.0000 0.0000
4 F 0.0000 0.0000 0.5000
5 F 0.5000 0.0000 0.0000

E	-14.90	eV per formula unit
calculated volume	97.5	Å³ per cell
Fermi-level density of states	0.396	states/eV/atom



Record 2
HgAsSe2F | GGA-PBE | relaxed

abc: 5.2201 5.2201 5.2921
angles: 90.00 90.00 90.00
Atoms (fractional coordinates):
1 As 0.0000 0.0000 0.5000
2 Hg 0.0000 0.0000 0.0000
3 Se 0.0000 0.5000 0.0000
4 Se 0.5000 0.0000 0.0000
5 F 0.5000 0.5000 0.5000

E	-9.93	eV per formula unit
calculated volume	144.2	Å³ per cell
ΔE to the lowest computed polymorph	469	meV per atom
Fermi-level density of states	1.603	states/eV/atom



Record 3
HgAsSe2F | GGA-PBE | relaxed

abc: 5.2164 5.2164 4.0277
angles: 90.00 90.00 90.00
Atoms (fractional coordinates):
1 As 0.0000 0.0000 0.5000
2 Hg 0.5000 0.5000 0.5000
3 Se 0.0000 0.5000 0.0000
4 Se 0.5000 0.0000 0.0000
5 F 0.0000 0.0000 0.0000

E	-12.28	eV per formula unit
calculated volume	109.6	Å³ per cell
ΔE to the lowest computed polymorph	0	meV per atom
Fermi-level density of states	0.641	states/eV/atom